A plane-wave DFT calculation with GGA-PBE was carried out for an optimized crystal structure of Nd4OsI2Br.

Cell and atoms, written as POSCAR:
```
Nd4OsI2Br
1.0
4.2059 0.0000 0.0000
0.0000 7.9283 0.2909
0.0000 -2.6216 7.8404
Os Nd I Br
1 4 2 1
direct
0.5000 0.5000 0.0000 Os
0.0000 0.3060 0.8104 Nd
0.5000 0.7264 0.8003 Nd
0.5000 0.2736 0.1997 Nd
0.0000 0.6940 0.1896 Nd
0.0000 0.5000 0.5000 I
0.5000 0.0000 0.5000 I
0.0000 0.0000 0.0000 Br
```

density of states at the Fermi level: 5.76 states/eV per cell
E: -5.188 eV/atom
SG: P2/m, No. 10
total magnetic moment: 0.0 μB/f.u.

A plane-wave DFT calculation with GGA-PBE was carried out for an optimized crystal structure of CeEuTlPd.

Cell and atoms, written as POSCAR:
```
CeEuTlPd
1.0
-4.3125 2.6670 -1.6627
-3.0958 -2.0551 -3.8299
-4.8778 -1.8047 1.1937
Eu Pd Ce Tl
1 1 1 1
direct
0.7500 0.7500 0.7500 Eu
0.5000 0.5000 0.5000 Pd
0.2500 0.2500 0.2500 Ce
0.0000 0.0000 0.0000 Tl
```

ΔE_f: -0.3802 eV/atom
density of states at the Fermi level: 12.77 states/eV per cell
SG: F-43m, No. 216
total magnetic moment: 6.2 μB/f.u.

> Among the records above, which one has the highest density of states at the Fermi level?

CeEuTlPd